# PBE Nd3DyHg, optimized geometry
# - density of states at the Fermi level (states/eV/f.u.) = 5.2
# - distance to the lowest polymorph of the same formula (eV per atom) = 0.000
# - calculated volume (Å³ per atom) = 33.181
# - ΔH_f (0 K) (kJ/mol of atoms) = -8.59
data_Nd3DyHg
_cell_length_a 11.525
_cell_length_b 7.632
_cell_length_c 8.112
_cell_angle_alpha 90.00
_cell_angle_beta 111.54
_cell_angle_gamma 90.00
_space_group_name_H-M_alt 'C 1 2/m 1'
_space_group_IT_number 12
_space_group_name_Hall '-C 2y'
loop_
_atom_site_label
_atom_site_type_symbol
_atom_site_fract_x
_atom_site_fract_y
_atom_site_fract_z
Nd1 Nd 0.053 0.000 0.235
Nd2 Nd 0.163 0.253 0.646
Dy1 Dy 0.060 0.500 0.242
Hg1 Hg 0.237 0.500 0.001